# 1
This record from Alexandria via LeMat-Bulk describes a geometry-optimized Ti2Si2Rh structure. The functional is GGA-PBEsol.

Structure (extended XYZ):
```
10
Lattice="6.087 0.000 0.000 0.000 6.087 0.000 0.000 0.000 3.853" Properties=species:S:1:pos:R:3 pbc="T T T"
Ti 0.997 2.046 0.000
Ti 2.046 5.090 0.000
Ti 4.041 0.997 0.000
Ti 5.090 4.041 0.000
Si 0.842 3.885 1.926
Si 2.202 0.842 1.926
Si 3.885 5.245 1.926
Si 5.245 2.202 1.926
Rh 0.000 0.000 1.926
Rh 3.044 3.044 1.926
```

Computed properties:
ρ = 5.9 Mg/m³
E_form (uncorrected) = -0.9477 eV/atom
Space-group type = P4/mbm (127)

***

# 2
This record from Alexandria via LeMat-Bulk describes a geometry-optimized TiSiRh structure. The functional is GGA-PBEsol.

Structure (extended XYZ):
```
12
Lattice="6.202 0.000 0.000 0.000 3.793 0.000 0.000 0.000 7.187" Properties=species:S:1:pos:R:3 pbc="T T T"
Ti 0.150 0.948 1.318
Ti 2.951 2.845 4.912
Ti 3.251 0.948 2.275
Ti 6.052 2.845 5.869
Si 1.440 2.845 2.720
Si 1.661 0.948 6.314
Si 4.541 2.845 0.873
Si 4.762 0.948 4.467
Rh 0.942 0.948 4.047
Rh 2.159 2.845 0.453
Rh 4.043 0.948 6.734
Rh 5.260 2.845 3.140
```

Computed properties:
ρ = 7.0 Mg/m³
E_form (uncorrected) = -1.0257 eV/atom
Space-group type = Pnma (62)

***

- Among the records above, which one has the highest E_form (uncorrected)?
  Ti2Si2Rh

***

- Which value of E_form (uncorrected) does entry 2 give?
  -1.0257 eV/atom

***

Copy entry 2 word for word.
This record from Alexandria via LeMat-Bulk describes a geometry-optimized TiSiRh structure. The functional is GGA-PBEsol.

Structure (extended XYZ):
```
12
Lattice="6.202 0.000 0.000 0.000 3.793 0.000 0.000 0.000 7.187" Properties=species:S:1:pos:R:3 pbc="T T T"
Ti 0.150 0.948 1.318
Ti 2.951 2.845 4.912
Ti 3.251 0.948 2.275
Ti 6.052 2.845 5.869
Si 1.440 2.845 2.720
Si 1.661 0.948 6.314
Si 4.541 2.845 0.873
Si 4.762 0.948 4.467
Rh 0.942 0.948 4.047
Rh 2.159 2.845 0.453
Rh 4.043 0.948 6.734
Rh 5.260 2.845 3.140
```

Computed properties:
ρ = 7.0 Mg/m³
E_form (uncorrected) = -1.0257 eV/atom
Space-group type = Pnma (62)

***

Copy entry 2 word for word.
This record from Alexandria via LeMat-Bulk describes a geometry-optimized TiSiRh structure. The functional is GGA-PBEsol.

Structure (extended XYZ):
```
12
Lattice="6.202 0.000 0.000 0.000 3.793 0.000 0.000 0.000 7.187" Properties=species:S:1:pos:R:3 pbc="T T T"
Ti 0.150 0.948 1.318
Ti 2.951 2.845 4.912
Ti 3.251 0.948 2.275
Ti 6.052 2.845 5.869
Si 1.440 2.845 2.720
Si 1.661 0.948 6.314
Si 4.541 2.845 0.873
Si 4.762 0.948 4.467
Rh 0.942 0.948 4.047
Rh 2.159 2.845 0.453
Rh 4.043 0.948 6.734
Rh 5.260 2.845 3.140
```

Computed properties:
ρ = 7.0 Mg/m³
E_form (uncorrected) = -1.0257 eV/atom
Space-group type = Pnma (62)